RuRhCl2 | PBE | optimized geometry

Values from the calculation:
As for the energy relative to the lowest polymorph listed for this composition: 0.805 eV/atom. The energy relative to the elements, uncorrected is 0.804 eV per atom. As for the energy: -4.28 eV per atom. The calculation puts the calculated volume at 250.7 Å³/cell.

Cell: 6.3056 6.3056 6.3056 Å, 90.00 90.00 90.00°
With the nearest neighbours (Å) after each atom.
Sites, in units of the cell vectors:
Ru1 0.0000 0.0000 0.0000  8 Cl 2.73
Ru2 0.0000 0.5000 0.5000  8 Cl 2.73
Ru3 0.5000 0.0000 0.5000  8 Cl 2.73
Ru4 0.5000 0.5000 0.0000  8 Cl 2.73
Rh1 0.0000 0.0000 0.5000  8 Cl 2.73
Rh2 0.0000 0.5000 0.0000  8 Cl 2.73
Rh3 0.5000 0.0000 0.0000  8 Cl 2.73
Rh4 0.5000 0.5000 0.5000  8 Cl 2.73
Cl1 0.2500 0.2500 0.2500  4 Ru 2.73, 4 Rh 2.73
Cl2 0.2500 0.2500 0.7500  4 Ru 2.73, 4 Rh 2.73
Cl3 0.2500 0.7500 0.2500  4 Ru 2.73, 4 Rh 2.73
Cl4 0.2500 0.7500 0.7500  4 Ru 2.73, 4 Rh 2.73
Cl5 0.7500 0.2500 0.2500  4 Ru 2.73, 4 Rh 2.73
Cl6 0.7500 0.2500 0.7500  4 Ru 2.73, 4 Rh 2.73
Cl7 0.7500 0.7500 0.2500  4 Ru 2.73, 4 Rh 2.73
Cl8 0.7500 0.7500 0.7500  4 Ru 2.73, 4 Rh 2.73